A plane-wave DFT calculation with PBE+U was carried out for V3MoO after structural relaxation.

a = 4.2679 Å, b = 4.2679 Å, c = 4.2679 Å
α = 90.00°, β = 90.00°, γ = 90.00°
Last column: nearest neighbours and their distance in Å.
Positions (direct):
1 Mo 0.5000 0.5000 0.5000  12 V 3.02
2 O 0.0000 0.0000 0.0000  6 V 2.13
3 V 0.0000 0.5000 0.0000  2 O 2.13
4 V 0.0000 0.0000 0.5000  2 O 2.13
5 V 0.5000 0.0000 0.0000  2 O 2.13

Output
Total DFT energy (no corrections) in eV per atom: -6.6251
V in Å³ per atom: 15.548
Distance to the lowest polymorph of the same formula in meV/atom: 0.0